A | Here is a relaxed FeOsC2 crystal from the Alexandria database. Energies are from GGA-PBE.

Output
- Crystal system: cubic
- Size of the total moment: 0.00 μB per atom
- Space-group type: Fm-3m

a = 5.178 Å, b = 5.178 Å, c = 5.178 Å
α = 90.00°, β = 90.00°, γ = 90.00°
Atoms (fractional coordinates):
1 Fe 0.000 0.000 0.000
2 Fe 0.000 0.500 0.500
3 Fe 0.500 0.000 0.500
4 Fe 0.500 0.500 0.000
5 Os 0.000 0.000 0.500
6 Os 0.000 0.500 0.000
7 Os 0.500 0.000 0.000
8 Os 0.500 0.500 0.500
9 C 0.250 0.250 0.250
10 C 0.250 0.250 0.750
11 C 0.250 0.750 0.250
12 C 0.250 0.750 0.750
13 C 0.750 0.250 0.250
14 C 0.750 0.250 0.750
15 C 0.750 0.750 0.250
16 C 0.750 0.750 0.750

=====

B | Here is a relaxed FeOsC2 crystal from the Alexandria database. Energies are from GGA-PBE.

Output
- Crystal system: tetragonal
- Size of the total moment: 0.00 μB per atom
- Space-group type: I-42d

a = 4.440 Å, b = 4.440 Å, c = 8.889 Å
α = 90.00°, β = 90.00°, γ = 90.00°
Atoms (fractional coordinates):
1 Fe 0.000 0.000 0.000
2 Fe 0.000 0.500 0.250
3 Fe 0.500 0.000 0.750
4 Fe 0.500 0.500 0.500
5 Os 0.000 0.000 0.500
6 Os 0.000 0.500 0.750
7 Os 0.500 0.000 0.250
8 Os 0.500 0.500 0.000
9 C 0.232 0.250 0.125
10 C 0.250 0.732 0.375
11 C 0.250 0.768 0.875
12 C 0.268 0.250 0.625
13 C 0.732 0.750 0.625
14 C 0.750 0.232 0.875
15 C 0.750 0.268 0.375
16 C 0.768 0.750 0.125

=====

Relative energies, unit meV per atom: A 580; B 0

=====

A | Here is a relaxed Fe3OsC crystal from the Alexandria database. Energies are from GGA-PBE.

Output
- Crystal system: cubic
- Size of the total moment: 1.01 μB per atom
- Space-group type: Pm-3m

a = 3.777 Å, b = 3.777 Å, c = 3.777 Å
α = 90.00°, β = 90.00°, γ = 90.00°
Atoms (fractional coordinates):
1 Fe 0.000 0.000 0.500
2 Fe 0.000 0.500 0.000
3 Fe 0.500 0.000 0.000
4 Os 0.500 0.500 0.500
5 C 0.000 0.000 0.000

=====

B | Here is a relaxed Fe3OsC crystal from the Alexandria database. Energies are from GGA-PBE.

Output
- Crystal system: cubic
- Size of the total moment: 1.46 μB per atom
- Space-group type: Pm-3m

a = 4.553 Å, b = 4.553 Å, c = 4.553 Å
α = 90.00°, β = 90.00°, γ = 90.00°
Atoms (fractional coordinates):
1 Fe 0.000 0.000 0.500
2 Fe 0.000 0.500 0.000
3 Fe 0.500 0.000 0.000
4 Os 0.000 0.000 0.000
5 C 0.500 0.500 0.500

=====

Relative energies, unit meV per atom: A 0; B 2346

=====

A | Here is a relaxed SrFe2OsC crystal from the Alexandria database. Energies are from GGA-PBE.

Output
- Crystal system: tetragonal
- Size of the total moment: 0.88 μB per atom
- Space-group type: P4/mmm

a = 4.215 Å, b = 4.215 Å, c = 4.094 Å
α = 90.00°, β = 90.00°, γ = 90.00°
Atoms (fractional coordinates):
1 Sr 0.000 0.000 0.000
2 Fe 0.000 0.500 0.500
3 Fe 0.500 0.000 0.500
4 Os 0.500 0.500 0.000
5 C 0.500 0.500 0.500

=====

B | Here is a relaxed SrFe2OsC crystal from the Alexandria database. Energies are from GGA-PBE.

Output
- Crystal system: tetragonal
- Size of the total moment: 1.21 μB per atom
- Space-group type: P4/mmm

a = 4.746 Å, b = 4.746 Å, c = 4.960 Å
α = 90.00°, β = 90.00°, γ = 90.00°
Atoms (fractional coordinates):
1 Sr 0.000 0.000 0.000
2 Fe 0.000 0.500 0.000
3 Fe 0.500 0.000 0.000
4 Os 0.000 0.000 0.500
5 C 0.500 0.500 0.500

=====

Relative energies, unit meV per atom: A 0; B 3395

=====

A | Here is a relaxed FeP3C crystal from the Alexandria database. Energies are from GGA-PBE.

Output
- Crystal system: cubic
- Size of the total moment: 0.00 μB per atom
- Space-group type: Pm-3m

a = 4.237 Å, b = 4.237 Å, c = 4.237 Å
α = 90.00°, β = 90.00°, γ = 90.00°
Atoms (fractional coordinates):
1 Fe 0.000 0.000 0.000
2 P 0.000 0.000 0.500
3 P 0.000 0.500 0.000
4 P 0.500 0.000 0.000
5 C 0.500 0.500 0.500

=====

B | Here is a relaxed FeP3C crystal from the Alexandria database. Energies are from GGA-PBE.

Output
- Crystal system: cubic
- Size of the total moment: 0.00 μB per atom
- Space-group type: Pm-3m

a = 3.891 Å, b = 3.891 Å, c = 3.891 Å
α = 90.00°, β = 90.00°, γ = 90.00°
Atoms (fractional coordinates):
1 Fe 0.000 0.000 0.000
2 P 0.000 0.500 0.500
3 P 0.500 0.000 0.500
4 P 0.500 0.500 0.000
5 C 0.500 0.500 0.500

=====

Relative energies, unit meV per atom: A 437; B 0

=====

A | Here is a relaxed PaFeC crystal from the Alexandria database. Energies are from GGA-PBE.

Output
- Crystal system: hexagonal
- Size of the total moment: 0.00 μB per atom
- Space-group type: P-6m2

a = 3.524 Å, b = 3.524 Å, c = 3.759 Å
α = 90.00°, β = 90.00°, γ = 120.00°
Atoms (fractional coordinates):
1 Pa 0.000 0.000 0.000
2 Fe 0.667 0.333 0.500
3 C 0.333 0.667 0.500

=====

B | Here is a relaxed PaFeC crystal from the Alexandria database. Energies are from GGA-PBE.

Output
- Crystal system: orthorhombic
- Size of the total moment: 0.00 μB per atom
- Space-group type: Pmma

a = 5.613 Å, b = 3.468 Å, c = 4.437 Å
α = 90.00°, β = 90.00°, γ = 90.00°
Atoms (fractional coordinates):
1 Pa 0.250 0.000 0.228
2 Pa 0.750 0.000 0.772
3 Fe 0.250 0.500 0.772
4 Fe 0.750 0.500 0.228
5 C 0.000 0.500 0.500
6 C 0.500 0.500 0.500

=====

Relative energies, unit meV per atom: A 0; B 15

=====

A | Here is a relaxed FePbC3 crystal from the Alexandria database. Energies are from GGA-PBE.

Output
- Crystal system: cubic
- Size of the total moment: 0.11 μB per atom
- Space-group type: Pm-3m

a = 4.372 Å, b = 4.372 Å, c = 4.372 Å
α = 90.00°, β = 90.00°, γ = 90.00°
Atoms (fractional coordinates):
1 Fe 0.000 0.000 0.000
2 Pb 0.500 0.500 0.500
3 C 0.000 0.500 0.500
4 C 0.500 0.000 0.500
5 C 0.500 0.500 0.000

=====

B | Here is a relaxed FePbC3 crystal from the Alexandria database. Energies are from GGA-PBE.

Output
- Crystal system: cubic
- Size of the total moment: 0.00 μB per atom
- Space-group type: Pm-3m

a = 3.909 Å, b = 3.909 Å, c = 3.909 Å
α = 90.00°, β = 90.00°, γ = 90.00°
Atoms (fractional coordinates):
1 Fe 0.000 0.000 0.000
2 Pb 0.500 0.500 0.500
3 C 0.000 0.000 0.500
4 C 0.000 0.500 0.000
5 C 0.500 0.000 0.000

=====

Relative energies, unit meV per atom: A 2020; B 0

=====

A | Here is a relaxed FePdC3 crystal from the Alexandria database. Energies are from GGA-PBE.

Output
- Crystal system: cubic
- Size of the total moment: 0.00 μB per atom
- Space-group type: Pm-3m

a = 3.945 Å, b = 3.945 Å, c = 3.945 Å
α = 90.00°, β = 90.00°, γ = 90.00°
Atoms (fractional coordinates):
1 Fe 0.000 0.000 0.000
2 Pd 0.500 0.500 0.500
3 C 0.000 0.500 0.500
4 C 0.500 0.000 0.500
5 C 0.500 0.500 0.000

=====

B | Here is a relaxed FePdC3 crystal from the Alexandria database. Energies are from GGA-PBE.

Output
- Crystal system: cubic
- Size of the total moment: 0.00 μB per atom
- Space-group type: Pm-3m

a = 3.732 Å, b = 3.732 Å, c = 3.732 Å
α = 90.00°, β = 90.00°, γ = 90.00°
Atoms (fractional coordinates):
1 Fe 0.000 0.000 0.000
2 Pd 0.500 0.500 0.500
3 C 0.000 0.000 0.500
4 C 0.000 0.500 0.000
5 C 0.500 0.000 0.000

=====

Relative energies, unit meV per atom: A 1214; B 0

=====

A | Here is a relaxed FePdC2 crystal from the Alexandria database. Energies are from GGA-PBE.

Output
- Crystal system: cubic
- Size of the total moment: 0.50 μB per atom
- Space-group type: Fm-3m

a = 5.316 Å, b = 5.316 Å, c = 5.316 Å
α = 90.00°, β = 90.00°, γ = 90.00°
Atoms (fractional coordinates):
1 Fe 0.000 0.000 0.000
2 Fe 0.000 0.500 0.500
3 Fe 0.500 0.000 0.500
4 Fe 0.500 0.500 0.000
5 Pd 0.000 0.000 0.500
6 Pd 0.000 0.500 0.000
7 Pd 0.500 0.000 0.000
8 Pd 0.500 0.500 0.500
9 C 0.250 0.250 0.250
10 C 0.250 0.250 0.750
11 C 0.250 0.750 0.250
12 C 0.250 0.750 0.750
13 C 0.750 0.250 0.250
14 C 0.750 0.250 0.750
15 C 0.750 0.750 0.250
16 C 0.750 0.750 0.750

=====

B | Here is a relaxed FePdC2 crystal from the Alexandria database. Energies are from GGA-PBE.

Output
- Crystal system: tetragonal
- Size of the total moment: 0.00 μB per atom
- Space-group type: I-42d

a = 4.507 Å, b = 4.507 Å, c = 8.875 Å
α = 90.00°, β = 90.00°, γ = 90.00°
Atoms (fractional coordinates):
1 Fe 0.000 0.000 0.000
2 Fe 0.000 0.500 0.250
3 Fe 0.500 0.000 0.750
4 Fe 0.500 0.500 0.500
5 Pd 0.000 0.000 0.500
6 Pd 0.000 0.500 0.750
7 Pd 0.500 0.000 0.250
8 Pd 0.500 0.500 0.000
9 C 0.200 0.250 0.125
10 C 0.250 0.700 0.375
11 C 0.250 0.800 0.875
12 C 0.300 0.250 0.625
13 C 0.700 0.750 0.625
14 C 0.750 0.200 0.875
15 C 0.750 0.300 0.375
16 C 0.800 0.750 0.125

=====

Relative energies, unit meV per atom: A 805; B 0

=====

A | Here is a relaxed FePdRh2C crystal from the Alexandria database. Energies are from GGA-PBE.

Output
- Crystal system: tetragonal
- Size of the total moment: 0.20 μB per atom
- Space-group type: P4/mmm

a = 4.921 Å, b = 4.921 Å, c = 3.646 Å
α = 90.00°, β = 90.00°, γ = 90.00°
Atoms (fractional coordinates):
1 Fe 0.000 0.000 0.000
2 Pd 0.500 0.500 0.500
3 Rh 0.000 0.500 0.500
4 Rh 0.500 0.000 0.500
5 C 0.500 0.500 0.000

=====

B | Here is a relaxed FePdRh2C crystal from the Alexandria database. Energies are from GGA-PBE.

Output
- Crystal system: tetragonal
- Size of the total moment: 0.75 μB per atom
- Space-group type: P4/mmm

a = 4.037 Å, b = 4.037 Å, c = 3.967 Å
α = 90.00°, β = 90.00°, γ = 90.00°
Atoms (fractional coordinates):
1 Fe 0.000 0.000 0.000
2 Pd 0.500 0.500 0.000
3 Rh 0.000 0.500 0.500
4 Rh 0.500 0.000 0.500
5 C 0.000 0.000 0.500

=====

Relative energies, unit meV per atom: A 1980; B 0

=====

A | Here is a relaxed PmFeC2 crystal from the Alexandria database. Energies are from GGA-PBE.

Output
- Crystal system: orthorhombic
- Size of the total moment: 0.04 μB per atom
- Space-group type: Amm2

a = 3.895 Å, b = 4.538 Å, c = 5.904 Å
α = 90.00°, β = 90.00°, γ = 90.00°
Atoms (fractional coordinates):
1 Pm 0.000 0.000 0.000
2 Pm 0.000 0.500 0.500
3 Fe 0.500 0.000 0.610
4 Fe 0.500 0.500 0.110
5 C 0.500 0.155 0.294
6 C 0.500 0.345 0.794
7 C 0.500 0.655 0.794
8 C 0.500 0.845 0.294

=====

B | Here is a relaxed PmFeC2 crystal from the Alexandria database. Energies are from GGA-PBE.

Output
- Crystal system: trigonal
- Size of the total moment: 0.43 μB per atom
- Space-group type: R-3m

a = 3.895 Å, b = 3.895 Å, c = 17.033 Å
α = 90.00°, β = 90.00°, γ = 120.00°
Atoms (fractional coordinates):
1 Pm 0.000 0.000 0.000
2 Pm 0.333 0.667 0.667
3 Pm 0.667 0.333 0.333
4 Fe 0.000 0.000 0.500
5 Fe 0.333 0.667 0.167
6 Fe 0.667 0.333 0.833
7 C 0.000 0.000 0.397
8 C 0.000 0.000 0.603
9 C 0.333 0.667 0.064
10 C 0.333 0.667 0.270
11 C 0.667 0.333 0.730
12 C 0.667 0.333 0.936

=====

C | Here is a relaxed PmFeC2 crystal from the Alexandria database. Energies are from GGA-PBE.

Output
- Crystal system: orthorhombic
- Size of the total moment: 0.00 μB per atom
- Space-group type: Cmmm

a = 5.552 Å, b = 5.842 Å, c = 3.578 Å
α = 90.00°, β = 90.00°, γ = 90.00°
Atoms (fractional coordinates):
1 Pm 0.000 0.000 0.000
2 Pm 0.500 0.500 0.000
3 Fe 0.000 0.500 0.000
4 Fe 0.500 0.000 0.000
5 C 0.127 0.500 0.500
6 C 0.373 0.000 0.500
7 C 0.627 0.000 0.500
8 C 0.873 0.500 0.500

=====

Relative energies, unit meV per atom: A 0; B 1352; C 438

=====

A | Here is a relaxed Fe3PtC crystal from the Alexandria database. Energies are from GGA-PBE.

Output
- Crystal system: cubic
- Size of the total moment: 0.00 μB per atom
- Space-group type: Pm-3m

a = 3.774 Å, b = 3.774 Å, c = 3.774 Å
α = 90.00°, β = 90.00°, γ = 90.00°
Atoms (fractional coordinates):
1 Fe 0.000 0.000 0.500
2 Fe 0.000 0.500 0.000
3 Fe 0.500 0.000 0.000
4 Pt 0.500 0.500 0.500
5 C 0.000 0.000 0.000

=====

B | Here is a relaxed Fe3PtC crystal from the Alexandria database. Energies are from GGA-PBE.

Output
- Crystal system: cubic
- Size of the total moment: 1.89 μB per atom
- Space-group type: Pm-3m

a = 4.688 Å, b = 4.688 Å, c = 4.688 Å
α = 90.00°, β = 90.00°, γ = 90.00°
Atoms (fractional coordinates):
1 Fe 0.000 0.000 0.500
2 Fe 0.000 0.500 0.000
3 Fe 0.500 0.000 0.000
4 Pt 0.000 0.000 0.000
5 C 0.500 0.500 0.500

=====

Relative energies, unit meV per atom: A 0; B 2095

=====

A | Here is a relaxed FePtC2 crystal from the Alexandria database. Energies are from GGA-PBE.

Output
- Crystal system: cubic
- Size of the total moment: 0.49 μB per atom
- Space-group type: Fm-3m

a = 5.339 Å, b = 5.339 Å, c = 5.339 Å
α = 90.00°, β = 90.00°, γ = 90.00°
Atoms (fractional coordinates):
1 Fe 0.000 0.000 0.000
2 Fe 0.000 0.500 0.500
3 Fe 0.500 0.000 0.500
4 Fe 0.500 0.500 0.000
5 Pt 0.000 0.000 0.500
6 Pt 0.000 0.500 0.000
7 Pt 0.500 0.000 0.000
8 Pt 0.500 0.500 0.500
9 C 0.250 0.250 0.250
10 C 0.250 0.250 0.750
11 C 0.250 0.750 0.250
12 C 0.250 0.750 0.750
13 C 0.750 0.250 0.250
14 C 0.750 0.250 0.750
15 C 0.750 0.750 0.250
16 C 0.750 0.750 0.750

=====

B | Here is a relaxed FePtC2 crystal from the Alexandria database. Energies are from GGA-PBE.

Output
- Crystal system: tetragonal
- Size of the total moment: 0.00 μB per atom
- Space-group type: I-42d

a = 4.498 Å, b = 4.498 Å, c = 8.948 Å
α = 90.00°, β = 90.00°, γ = 90.00°
Atoms (fractional coordinates):
1 Fe 0.000 0.000 0.000
2 Fe 0.000 0.500 0.250
3 Fe 0.500 0.000 0.750
4 Fe 0.500 0.500 0.500
5 Pt 0.000 0.000 0.500
6 Pt 0.000 0.500 0.750
7 Pt 0.500 0.000 0.250
8 Pt 0.500 0.500 0.000
9 C 0.211 0.250 0.125
10 C 0.250 0.711 0.375
11 C 0.250 0.789 0.875
12 C 0.289 0.250 0.625
13 C 0.711 0.750 0.625
14 C 0.750 0.211 0.875
15 C 0.750 0.289 0.375
16 C 0.789 0.750 0.125

=====

Relative energies, unit meV per atom: A 905; B 0